1.
A plane-wave DFT calculation with PBE was carried out for a relaxed CsAgBr3 crystal. Values from VASP.

Summary:
- E: -25.3 eV per cell
- DOS at the Fermi energy: 12.08 states/eV per cell

```
&SYSTEM
  ibrav = 0, nat = 10, ntyp = 3
/
ATOMIC_SPECIES
Cs 132.91 Cs.upf
Ag 107.87 Ag.upf
Br 79.90 Br.upf
ATOMIC_POSITIONS crystal
Cs 0.000 0.000 0.000
Cs 0.000 0.000 0.500
Ag 0.333 0.667 0.250
Ag 0.667 0.333 0.750
Br 0.000 0.000 0.250
Br 0.000 0.000 0.750
Br 0.333 0.667 0.108
Br 0.333 0.667 0.392
Br 0.667 0.333 0.608
Br 0.667 0.333 0.892
CELL_PARAMETERS angstrom
5.180 0.000 0.000
-2.590 4.486 0.000
0.000 0.000 17.793
```



2.
A plane-wave DFT calculation with PBE was carried out for a relaxed RbNpCu2Br8 crystal. Values from VASP.

Summary:
- E: -46.0 eV per cell
- DOS at the Fermi energy: 10.16 states/eV per cell

```
&SYSTEM
  ibrav = 0, nat = 12, ntyp = 4
/
ATOMIC_SPECIES
Rb 85.47 Rb.upf
Np 237.00 Np.upf
Cu 63.55 Cu.upf
Br 79.90 Br.upf
ATOMIC_POSITIONS crystal
Rb 0.000 0.000 0.000
Np 0.000 0.000 0.500
Cu 0.333 0.667 0.200
Cu 0.667 0.333 0.800
Br 0.166 0.332 0.325
Br 0.166 0.834 0.325
Br 0.332 0.166 0.675
Br 0.333 0.667 0.957
Br 0.667 0.333 0.043
Br 0.668 0.834 0.325
Br 0.834 0.166 0.675
Br 0.834 0.668 0.675
CELL_PARAMETERS angstrom
7.603 0.000 0.000
-3.802 6.585 0.000
0.000 0.000 9.376
```



3.
A plane-wave DFT calculation with PBE was carried out for a relaxed TbThPd crystal. Values from VASP.

Summary:
- DOS at the Fermi energy: 3.99 states/eV per cell
- DFT formation energy: -276.9 meV/atom
- Relative energy among the computed polymorphs: 0.182 eV per atom

```
&SYSTEM
  ibrav = 0, nat = 3, ntyp = 3
/
ATOMIC_SPECIES
Tb 158.93 Tb.upf
Th 232.04 Th.upf
Pd 106.42 Pd.upf
ATOMIC_POSITIONS crystal
Tb 0.000 0.000 0.000
Th 0.500 0.500 0.500
Pd 0.250 0.250 0.250
CELL_PARAMETERS angstrom
0.000 3.514 3.514
3.514 0.000 3.514
3.514 3.514 0.000
```



4.
A plane-wave DFT calculation with PBE was carried out for a relaxed YPdC crystal. Values from VASP.

Summary:
- DOS at the Fermi energy: 2.67 states/eV per cell
- DFT formation energy: -417.1 meV/atom

```
&SYSTEM
  ibrav = 0, nat = 6, ntyp = 3
/
ATOMIC_SPECIES
Y 88.91 Y.upf
Pd 106.42 Pd.upf
C 12.01 C.upf
ATOMIC_POSITIONS crystal
Y 0.113 0.113 0.296
Y 0.887 0.887 0.704
Pd 0.367 0.367 0.085
Pd 0.633 0.633 0.915
C 0.423 0.423 0.439
C 0.577 0.577 0.561
CELL_PARAMETERS angstrom
4.253 -1.867 0.000
4.253 1.867 0.000
-1.657 0.000 6.379
```



5.
A plane-wave DFT calculation with PBE was carried out for a relaxed Y3ScOs crystal. Values from VASP.

Summary:
- DOS at the Fermi energy: 6.58 states/eV per cell
- DFT formation energy: 118.9 meV/atom
- Relative energy among the computed polymorphs: 0.000 eV per atom

```
&SYSTEM
  ibrav = 0, nat = 5, ntyp = 3
/
ATOMIC_SPECIES
Y 88.91 Y.upf
Sc 44.96 Sc.upf
Os 190.23 Os.upf
ATOMIC_POSITIONS crystal
Y 0.000 0.000 0.500
Y 0.000 0.500 0.000
Y 0.500 0.000 0.000
Sc 0.500 0.500 0.500
Os 0.000 0.000 0.000
CELL_PARAMETERS angstrom
5.393 0.000 0.000
0.000 5.393 0.000
0.000 0.000 5.393
```



6.
A plane-wave DFT calculation with PBE was carried out for a relaxed KThNiSe3 crystal. Values from VASP.

Summary:
- E: -64.5 eV per cell
- DOS at the Fermi energy: 8.65 states/eV per cell

```
&SYSTEM
  ibrav = 0, nat = 12, ntyp = 4
/
ATOMIC_SPECIES
K 39.10 K.upf
Th 232.04 Th.upf
Ni 58.69 Ni.upf
Se 78.96 Se.upf
ATOMIC_POSITIONS crystal
K 0.199 0.250 0.237
K 0.801 0.750 0.763
Th 0.312 0.750 0.828
Th 0.688 0.250 0.172
Ni 0.084 0.250 0.582
Ni 0.916 0.750 0.418
Se 0.107 0.250 0.851
Se 0.188 0.750 0.514
Se 0.456 0.750 0.159
Se 0.544 0.250 0.841
Se 0.812 0.250 0.486
Se 0.893 0.750 0.149
CELL_PARAMETERS angstrom
9.285 0.000 0.000
0.000 4.152 0.000
-3.000 0.000 9.089
```



7.
A plane-wave DFT calculation with PBE was carried out for a relaxed ZrOs2Ru crystal. Values from VASP.

Summary:
- DOS at the Fermi energy: 10.84 states/eV per cell
- DFT formation energy: 530.9 meV/atom
- Relative energy among the computed polymorphs: 0.588 eV per atom

```
&SYSTEM
  ibrav = 0, nat = 8, ntyp = 3
/
ATOMIC_SPECIES
Zr 91.22 Zr.upf
Os 190.23 Os.upf
Ru 101.07 Ru.upf
ATOMIC_POSITIONS crystal
Zr 0.000 0.000 0.000
Zr 0.750 0.250 0.500
Os 0.177 0.625 0.052
Os 0.375 0.427 0.552
Os 0.573 0.125 0.948
Os 0.875 0.823 0.448
Ru 0.250 0.750 0.500
Ru 0.500 0.500 0.000
CELL_PARAMETERS angstrom
-1.921 1.921 9.550
1.921 -1.921 9.550
1.921 1.921 -9.550
```



8.
A plane-wave DFT calculation with PBE was carried out for a relaxed Ti4MnRh crystal. Values from VASP.

Summary:
- DOS at the Fermi energy: 8.79 states/eV per cell
- DFT formation energy: -368.3 meV/atom
- Relative energy among the computed polymorphs: 0.000 eV per atom

```
&SYSTEM
  ibrav = 0, nat = 6, ntyp = 3
/
ATOMIC_SPECIES
Ti 47.87 Ti.upf
Mn 54.94 Mn.upf
Rh 102.91 Rh.upf
ATOMIC_POSITIONS crystal
Ti 0.000 0.000 0.148
Ti 0.000 0.000 0.852
Ti 0.500 0.500 0.335
Ti 0.500 0.500 0.665
Mn 0.500 0.500 0.000
Rh 0.000 0.000 0.500
CELL_PARAMETERS angstrom
3.059 0.000 0.000
0.000 3.059 0.000
0.000 0.000 9.575
```



9.
A plane-wave DFT calculation with PBE was carried out for a relaxed Er2PbO5 crystal. Values from VASP.

Summary:
- E: -231.8 eV per cell

```
&SYSTEM
  ibrav = 0, nat = 32, ntyp = 3
/
ATOMIC_SPECIES
Er 167.26 Er.upf
Pb 207.20 Pb.upf
O 16.00 O.upf
ATOMIC_POSITIONS crystal
Er 0.169 0.000 0.021
Er 0.169 0.500 0.021
Er 0.331 0.000 0.521
Er 0.331 0.500 0.521
Er 0.669 0.000 0.479
Er 0.669 0.500 0.479
Er 0.831 0.000 0.979
Er 0.831 0.500 0.979
Pb 0.000 0.250 0.499
Pb 0.000 0.750 0.501
Pb 0.500 0.250 0.001
Pb 0.500 0.750 0.999
O 0.000 0.250 0.001
O 0.000 0.750 0.999
O 0.104 0.000 0.665
O 0.104 0.500 0.665
O 0.200 0.250 0.321
O 0.200 0.750 0.321
O 0.300 0.250 0.821
O 0.300 0.750 0.821
O 0.396 0.000 0.165
O 0.396 0.500 0.165
O 0.500 0.250 0.499
O 0.500 0.750 0.501
O 0.604 0.000 0.835
O 0.604 0.500 0.835
O 0.700 0.250 0.179
O 0.700 0.750 0.179
O 0.800 0.250 0.679
O 0.800 0.750 0.679
O 0.896 0.000 0.335
O 0.896 0.500 0.335
CELL_PARAMETERS angstrom
9.671 0.000 0.000
0.000 6.615 0.000
0.000 0.000 6.249
```



10.
A plane-wave DFT calculation with PBE was carried out for a relaxed SrZrSiO5 crystal. Values from VASP.

Summary:
- E: -130.9 eV per cell
- DOS at the Fermi energy: 0.00 states/eV per cell

```
&SYSTEM
  ibrav = 0, nat = 16, ntyp = 4
/
ATOMIC_SPECIES
Sr 87.62 Sr.upf
Zr 91.22 Zr.upf
Si 28.09 Si.upf
O 16.00 O.upf
ATOMIC_POSITIONS crystal
Sr 0.166 0.834 0.750
Sr 0.834 0.166 0.250
Zr 0.500 0.500 0.000
Zr 0.500 0.500 0.500
Si 0.182 0.818 0.250
Si 0.818 0.182 0.750
O 0.107 0.252 0.900
O 0.190 0.619 0.376
O 0.252 0.107 0.400
O 0.381 0.810 0.124
O 0.422 0.578 0.750
O 0.578 0.422 0.250
O 0.619 0.190 0.876
O 0.748 0.893 0.600
O 0.810 0.381 0.624
O 0.893 0.748 0.100
CELL_PARAMETERS angstrom
3.487 -4.632 0.000
3.487 4.632 0.000
-3.032 0.000 6.930
```



11.
A plane-wave DFT calculation with PBE was carried out for a relaxed Tb3Sm3YTe8 crystal. Values from VASP.

Summary:
- E: -80.8 eV per cell
- DOS at the Fermi energy: 7.06 states/eV per cell

```
&SYSTEM
  ibrav = 0, nat = 15, ntyp = 4
/
ATOMIC_SPECIES
Tb 158.93 Tb.upf
Sm 150.36 Sm.upf
Y 88.91 Y.upf
Te 127.60 Te.upf
ATOMIC_POSITIONS crystal
Tb 0.000 0.500 0.500
Tb 0.500 0.000 0.500
Tb 0.500 0.500 0.000
Sm 0.000 0.000 0.500
Sm 0.000 0.500 0.000
Sm 0.500 0.000 0.000
Y 0.000 0.000 0.000
Te 0.252 0.252 0.252
Te 0.254 0.254 0.743
Te 0.254 0.743 0.254
Te 0.257 0.746 0.746
Te 0.743 0.254 0.254
Te 0.746 0.257 0.746
Te 0.746 0.746 0.257
Te 0.748 0.748 0.748
CELL_PARAMETERS angstrom
4.388 2.533 7.182
-4.388 2.533 7.182
0.000 -5.066 7.182
```



12.
A plane-wave DFT calculation with PBE was carried out for a relaxed CdHg2Se crystal. Values from VASP.

Summary:
- E: -5.3 eV per cell
- DOS at the Fermi energy: 0.82 states/eV per cell

```
&SYSTEM
  ibrav = 0, nat = 4, ntyp = 3
/
ATOMIC_SPECIES
Cd 112.41 Cd.upf
Hg 200.59 Hg.upf
Se 78.96 Se.upf
ATOMIC_POSITIONS crystal
Cd 0.000 0.000 0.000
Hg 0.000 0.500 0.500
Hg 0.500 0.000 0.500
Se 0.500 0.500 0.000
CELL_PARAMETERS angstrom
4.078 0.000 0.000
0.000 4.078 0.000
0.000 0.000 6.497
```



Across the entries above, M_tot takes the values 0.00; 1.86; 0.00; 0.00; 0.92; 1.53; 0.00; 0.41; 0.00; 0.00; 0.00; 0.00 μB per cell, respectively.